# 1
A relaxed Cs2AlReW crystal. Source: the Alexandria database, functional PBE.

extended XYZ file:
```
5
Lattice="-6.3314 3.0010 -0.4274 -1.9845 -4.0771 0.7705 0.1239 1.2451 6.9072" Properties=species:S:1:pos:R:3 pbc="T T T"
Cs -3.1657 1.5005 -0.2137
Al -4.0960 0.0845 3.6251
Re -0.9923 -2.0385 0.3852
Cs 0.0619 0.6225 3.4536
W 0.0000 0.0000 0.0000
```

Summary:
Symmetry: P4/mmm
Calculated formation energy: 1.985 eV per atom
Uncorrected energy: -4.1851 eV/atom

=====

# 2
A relaxed Ni4PH2 crystal. Source: the Alexandria database, functional PBE.

extended XYZ file:
```
7
Lattice="4.1678 0.0000 0.0000 0.0000 4.1678 0.0000 2.0839 2.0839 4.2042" Properties=species:S:1:pos:R:3 pbc="T T T"
P 0.0000 0.0000 0.0000
H 2.0839 2.0839 0.5513
H 4.1678 4.1678 3.6529
Ni 4.1678 4.1678 2.1162
Ni 2.0839 2.0839 2.0880
Ni 0.0000 2.0839 0.0000
Ni 2.0839 0.0000 0.0000
```

Summary:
Symmetry: I4/mmm
Polymorph energy (0 for the lowest one): 515 meV/atom
Uncorrected energy: -4.7153 eV/atom